TaAlPtRh: optimized geometry, PBE.

Uncorrected energy ... -7.890 eV/atom
Energy relative to the elements ... -0.64 eV per atom

Structure (CIF):
```
data_TaAlPtRh
_cell_length_a 6.315
_cell_length_b 6.315
_cell_length_c 6.315
_cell_angle_alpha 90.00
_cell_angle_beta 90.00
_cell_angle_gamma 90.00
_space_group_name_H-M_alt 'F -4 3 m'
_space_group_IT_number 216
_space_group_name_Hall 'F -4 2 3'
loop_
_atom_site_label
_atom_site_type_symbol
_atom_site_fract_x
_atom_site_fract_y
_atom_site_fract_z
Ta1 Ta 0.000 0.000 0.000
Al1 Al 0.000 0.000 0.500
Pt1 Pt 0.250 0.250 0.250
Rh1 Rh 0.250 0.250 0.750
```

---

PrSmSe2O: optimized geometry, PBE.

Formation energy from raw total energies ... -2368 meV per atom
Uncorrected energy ... -6.653 eV/atom

Structure (CIF):
```
data_PrSmSe2O
_cell_length_a 4.111
_cell_length_b 4.111
_cell_length_c 14.864
_cell_angle_alpha 90.00
_cell_angle_beta 90.00
_cell_angle_gamma 90.00
_space_group_name_H-M_alt 'P 4/n m m'
_space_group_IT_number 129
loop_
_space_group_symop_operation_xyz
'x,y,z'
'-x,-y,-z'
'-y+1/2,x,z'
'y+1/2,-x,-z'
'-x+1/2,-y+1/2,z'
'x+1/2,y+1/2,-z'
'y,-x+1/2,z'
'-y,x+1/2,-z'
'x+1/2,-y,-z'
'-x+1/2,y,z'
'-y,-x,-z'
'y,x,z'
'-x,y+1/2,-z'
'x,-y+1/2,z'
'y+1/2,x+1/2,-z'
'-y+1/2,-x+1/2,z'
loop_
_atom_site_label
_atom_site_type_symbol
_atom_site_fract_x
_atom_site_fract_y
_atom_site_fract_z
Pr1 Pr 0.250 0.250 0.080
Sm1 Sm 0.250 0.250 0.627
Se1 Se 0.250 0.250 0.410
Se2 Se 0.250 0.250 0.807
O1 O 0.250 0.750 0.000
```

---

BaGa4Ni2: optimized geometry, PBE.

Uncorrected energy ... -3.733 eV/atom
Energy relative to the elements ... -0.08 eV per atom

Structure (CIF):
```
data_BaGa4Ni2
_cell_length_a 7.462
_cell_length_b 10.126
_cell_length_c 4.846
_cell_angle_alpha 90.00
_cell_angle_beta 130.30
_cell_angle_gamma 90.00
_space_group_name_H-M_alt 'C 1 2/m 1'
_space_group_IT_number 12
_space_group_name_Hall '-C 2y'
loop_
_atom_site_label
_atom_site_type_symbol
_atom_site_fract_x
_atom_site_fract_y
_atom_site_fract_z
Ba1 Ba 0.000 0.000 0.000
Ga1 Ga 0.247 0.322 0.248
Ni1 Ni 0.001 0.500 0.752
```

---

Pt2Rh: optimized geometry, PBE.

Uncorrected energy ... -6.497 eV/atom
Energy relative to the elements ... -0.02 eV per atom

Structure (CIF):
```
data_Pt2Rh
_cell_length_a 3.921
_cell_length_b 3.921
_cell_length_c 23.680
_cell_angle_alpha 90.00
_cell_angle_beta 90.00
_cell_angle_gamma 90.00
_space_group_name_H-M_alt 'I 41/a m d'
_space_group_IT_number 141
loop_
_space_group_symop_operation_xyz
'x,y,z'
'-x,-y,-z'
'-y+1/4,x+3/4,z+1/4'
'y+1/4,-x+3/4,-z+1/4'
'-x+1/2,-y,z+1/2'
'x+1/2,y,-z+1/2'
'y+1/4,-x+1/4,z+3/4'
'-y+1/4,x+1/4,-z+3/4'
'x,-y,-z'
'-x,y,z'
'-y+1/4,-x+1/4,-z+3/4'
'y+1/4,x+1/4,z+3/4'
'-x+1/2,y,-z+1/2'
'x+1/2,-y,z+1/2'
'y+1/4,x+3/4,-z+1/4'
'-y+1/4,-x+3/4,z+1/4'
'x+1/2,y+1/2,z+1/2'
'-x+1/2,-y+1/2,-z+1/2'
'-y+3/4,x+1/4,z+3/4'
'y+3/4,-x+1/4,-z+3/4'
'-x,-y+1/2,z'
'x,y+1/2,-z'
'y+3/4,-x+3/4,z+1/4'
'-y+3/4,x+3/4,-z+1/4'
'x+1/2,-y+1/2,-z+1/2'
'-x+1/2,y+1/2,z+1/2'
'-y+3/4,-x+3/4,-z+1/4'
'y+3/4,x+3/4,z+1/4'
'-x,y+1/2,-z'
'x,-y+1/2,z'
'y+3/4,x+1/4,-z+3/4'
'-y+3/4,-x+1/4,z+3/4'
loop_
_atom_site_label
_atom_site_type_symbol
_atom_site_fract_x
_atom_site_fract_y
_atom_site_fract_z
Pt1 Pt 0.000 0.250 0.125
Pt2 Pt 0.000 0.250 0.291
Rh1 Rh 0.000 0.250 0.791
```

---

TaBiAsS2: optimized geometry, PBE.

Formation energy from raw total energies ... 1396 meV per atom
Uncorrected energy ... -4.331 eV/atom

Structure (CIF):
```
data_TaBiAsS2
_cell_length_a 5.053
_cell_length_b 5.053
_cell_length_c 5.354
_cell_angle_alpha 90.00
_cell_angle_beta 90.00
_cell_angle_gamma 90.00
_space_group_name_H-M_alt 'P 4/m m m'
_space_group_IT_number 123
_space_group_name_Hall '-P 4 2'
loop_
_atom_site_label
_atom_site_type_symbol
_atom_site_fract_x
_atom_site_fract_y
_atom_site_fract_z
Ta1 Ta 0.000 0.000 0.000
Bi1 Bi 0.500 0.500 0.500
As1 As 0.500 0.500 0.000
S1 S 0.000 0.500 0.500
```

---

Tb2Sm2Er5: optimized geometry, PBE.

Excess energy over the best structure of this formula in the dataset ... 77 meV/atom
Uncorrected energy ... -4.394 eV/atom
Energy relative to the elements ... 0.22 eV per atom

Structure (CIF):
```
data_Tb2Sm2Er5
_cell_length_a 14.859
_cell_length_b 11.722
_cell_length_c 6.692
_cell_angle_alpha 90.00
_cell_angle_beta 90.00
_cell_angle_gamma 90.00
_space_group_name_H-M_alt 'I m a 2'
_space_group_IT_number 46
_space_group_name_Hall 'I 2 -2a'
loop_
_atom_site_label
_atom_site_type_symbol
_atom_site_fract_x
_atom_site_fract_y
_atom_site_fract_z
Tb1 Tb 0.127 0.005 0.000
Sm1 Sm 0.000 0.000 0.548
Sm2 Sm 0.250 0.512 0.949
Er1 Er 0.053 0.244 0.350
Er2 Er 0.142 0.737 0.163
Er3 Er 0.250 0.250 0.156
```

---

| no. | N(E_F) (states/eV/f.u.) |
| --- | --- |
| 1 | 3.47 |
| 2 | 0.92 |
| 3 | 3.07 |
| 4 | 5.90 |
| 5 | 4.72 |
| 6 | 14.54 |